The following is a PBE calculation of a relaxed Nd2P2Pt crystal, from Alexandria.

For the formation energy, the calculation gives -1.2654 eV per atom. The uncorrected energy comes out at -6.545 eV per atom. The value obtained for the density of states at the Fermi level is 10.89 states/eV per cell.

The space group is C2/m (No. 12) and the conventional cell measures 10.9667, 4.1500 and 10.3369 Å, with angles of 90.00, 112.07 and 90.00 degrees. Symmetry generates all atoms from Nd at (0.0932, 0.0000, 0.4024), Nd at (0.2011, 0.5000, 0.1471), P at (0.0400, 0.0000, 0.9124), P at (0.1570, 0.5000, 0.6335) and Pt at (0.0717, 0.5000, 0.8224).

---

The following is a PBE calculation of a relaxed LiZrTc2 crystal, from Alexandria.

For the formation energy, the calculation gives 0.5374 eV per atom. The uncorrected energy comes out at -7.261 eV per atom. The value obtained for the density of states at the Fermi level is 16.14 states/eV per cell. The value obtained for the relative energy among the computed polymorphs is 480.6 meV per atom.

The space group is I-42d (No. 122) and the conventional cell measures 7.1035, 7.1035 and 5.1134 Å, with angles of 90.00, 90.00 and 90.00 degrees. Symmetry generates all atoms from Li at (0.0000, 0.0000, 0.0000), Zr at (0.0000, 0.0000, 0.5000) and Tc at (0.2180, 0.2500, 0.1250).

---

The following is a PBE calculation of a relaxed Nb2CoIr2 crystal, from Alexandria.

For the formation energy, the calculation gives -0.0968 eV per atom. The uncorrected energy comes out at -9.090 eV per atom. The value obtained for the density of states at the Fermi level is 9.12 states/eV per cell. The value obtained for the relative energy among the computed polymorphs is 236.7 meV per atom.

The space group is P4/mbm (No. 127) and the conventional cell measures 7.3748, 7.3748 and 3.0276 Å, with angles of 90.00, 90.00 and 90.00 degrees. Symmetry generates all atoms from Nb at (0.1690, 0.3310, 0.0000), Co at (0.0000, 0.0000, 0.5000) and Ir at (0.1333, 0.6333, 0.5000).